## ScCr2Tc (GGA-PBE)

Data for an optimized crystal structure of ScCr2Tc.

Output
crystal system = orthorhombic
energy of formation from the pure elements = 0.47 eV/f.u.
offset from the most stable computed form = 24 meV/atom
total magnetic moment = 0.000 μB per atom
theoretical density = 7.12 g cm⁻³

Cell lengths 5.1160, 5.1160, 4.3074 Å; angles 65.09, 65.09, 34.70 degrees
Last column: nearest neighbours and their distance in Å.
Sites, in units of the cell vectors:
Tc1 0.2500 0.2500 0.2500  4 Cr 2.57, 4 Sc 2.64
Cr1 0.5147 0.5147 0.4852  2 Tc 2.57, 4 Cr 2.65, 2 Sc 2.78
Cr2 0.9853 0.9853 0.0148  2 Tc 2.57, 4 Cr 2.65, 2 Sc 2.78
Sc1 0.7500 0.7500 0.7500  4 Tc 2.64, 4 Cr 2.78

***

## ScCrTc (GGA-PBE)

Data for an optimized crystal structure of ScCrTc.

Output
crystal system = cubic
energy of formation from the pure elements = 3.50 eV/f.u.
offset from the most stable computed form = 1316 meV/atom
total magnetic moment = 0.782 μB per atom
theoretical density = 5.48 g cm⁻³

Cell lengths 4.3721, 4.3721, 4.3721 Å; angles 60.00, 60.00, 60.00 degrees
Last column: nearest neighbours and their distance in Å.
Sites, in units of the cell vectors:
Sc1 0.2500 0.2500 0.2500  4 Tc 2.68, 4 Cr 2.68
Tc1 0.0000 0.0000 0.0000  4 Sc 2.68
Cr1 0.5000 0.5000 0.5000  4 Sc 2.68

***

## ScCrTc (GGA-PBE)

Data for an optimized crystal structure of ScCrTc.

Output
crystal system = orthorhombic
energy of formation from the pure elements = -0.45 eV/f.u.
offset from the most stable computed form = 0 meV/atom
total magnetic moment = 0.000 μB per atom
theoretical density = 6.76 g cm⁻³

Cell lengths 5.1272, 5.1272, 5.1272 Å; angles 90.66, 118.60, 120.66 degrees
Last column: nearest neighbours and their distance in Å.
Sites, in units of the cell vectors:
Cr1 0.5000 0.0000 0.5000  2 Cr 2.54, 4 Tc 2.56
Cr2 0.0000 0.5000 0.5000  2 Cr 2.54, 4 Tc 2.56
Tc1 0.5000 0.5000 0.5000  4 Cr 2.56, 2 Tc 2.62
Tc2 0.0000 0.5000 0.0000  4 Cr 2.56, 2 Tc 2.62
Sc1 0.7500 0.8756 0.1256  6 Cr 2.98-3.05, 6 Tc 2.99-3.01, 4 Sc 3.12-3.17
Sc2 0.2500 0.1244 0.8744  6 Cr 2.98-3.05, 6 Tc 2.99-3.01, 4 Sc 3.12-3.17

***

## ScCrTc2 (GGA-PBE)

Data for an optimized crystal structure of ScCrTc2.

Output
crystal system = orthorhombic
energy of formation from the pure elements = 0.19 eV/f.u.
total magnetic moment = 0.234 μB per atom
theoretical density = 8.07 g cm⁻³

Cell lengths 3.0855, 4.5399, 4.3048 Å; angles 90.00, 90.00, 90.00 degrees
Last column: nearest neighbours and their distance in Å.
Sites, in units of the cell vectors:
Tc1 0.5000 0.5000 0.0000  4 Sc 2.65, 4 Tc 2.74
Tc2 0.0000 0.0000 0.0000  4 Cr 2.65, 4 Tc 2.74
Cr1 0.5000 0.0000 0.5000  4 Tc 2.65, 4 Sc 2.74
Sc1 0.0000 0.5000 0.5000  4 Tc 2.65, 4 Cr 2.74

***

## ScCrTc (GGA-PBE)

Data for an optimized crystal structure of ScCrTc.

Output
crystal system = orthorhombic
energy of formation from the pure elements = 0.60 eV/f.u.
offset from the most stable computed form = 348 meV/atom
total magnetic moment = 0.000 μB per atom
theoretical density = 6.91 g cm⁻³

Cell lengths 6.8630, 6.6477, 2.7951 Å; angles 82.42, 73.77, 23.81 degrees
Last column: nearest neighbours and their distance in Å.
Sites, in units of the cell vectors:
Cr1 0.0118 0.0118 0.9882  2 Tc 2.41
Tc1 0.6538 0.6538 0.3462  2 Cr 2.41
Sc1 0.3344 0.3344 0.6656  2 Cr 2.78, 4 Sc 2.80, 2 Tc 2.81

***

## ScCr2Tc (GGA-PBE)

Data for an optimized crystal structure of ScCr2Tc.

Output
crystal system = monoclinic
energy of formation from the pure elements = 0.87 eV/f.u.
offset from the most stable computed form = 125 meV/atom
total magnetic moment = 0.000 μB per atom
theoretical density = 7.20 g cm⁻³

Cell lengths 5.0112, 5.0112, 2.7042 Å; angles 80.16, 80.16, 117.31 degrees
Last column: nearest neighbours and their distance in Å.
Sites, in units of the cell vectors:
Tc1 0.0000 0.5000 0.5000  2 Sc 2.61, 4 Cr 2.64, 2 Tc 2.70
Cr1 0.5000 0.5000 0.0000  4 Cr 2.61-2.70, 2 Tc 2.64, 2 Sc 2.64
Cr2 0.0000 0.0000 0.0000  4 Cr 2.61-2.70, 2 Sc 2.64, 2 Tc 2.64
Sc1 0.5000 0.0000 0.5000  2 Tc 2.61, 4 Cr 2.64, 2 Sc 2.70